A plane-wave DFT calculation with GGA-PBE was carried out for Sb7P6 after structural relaxation.

a = 9.1740 Å, b = 9.1740 Å, c = 9.1740 Å
α = 45.61°, β = 45.61°, γ = 45.61°
Atoms (fractional coordinates):
P  0.8164  0.8164  0.8164
P  0.0981  0.0981  0.0981
P  0.6707  0.6707  0.6707
P  0.1836  0.1836  0.1836
P  0.9019  0.9019  0.9019
P  0.3293  0.3293  0.3293
Sb  0.0781  0.5790  0.5790
Sb  0.9219  0.4210  0.4210
Sb  0.5790  0.5790  0.0781
Sb  0.4210  0.4210  0.9219
Sb  0.5790  0.0781  0.5790
Sb  0.5000  0.5000  0.5000
Sb  0.4210  0.9219  0.4210

- V (Å³/cell) = 359.4
- size of the total moment (μB per atom) = 0.00
- E (eV per cell) = -55.60
- ΔE_f (raw) (meV per atom) = 440.0